[1]
8
Lattice="6.636 0.000 0.000 0.000 6.636 0.000 3.318 3.318 5.806" Properties=species:S:1:pos:R:3 comment="GGA-PBE HfVI2, relaxed" mass_density_g_cm3=6.3 spacegroup="No. 122" formation_energy_uncorrected_ev_per_atom=0.79 pbc="T T T"
Hf 6.636 3.318 2.903
Hf 0.000 0.000 0.000
I 4.977 5.074 4.355
I 1.756 4.977 1.452
I 4.880 1.659 1.452
I 8.295 8.198 4.355
V 3.318 3.318 0.000
V 3.318 6.636 2.903



[2]
4
Lattice="-2.134 -4.256 1.490 -4.492 0.088 2.168 -3.977 -1.780 -2.429" Properties=species:S:1:pos:R:3 comment="GGA-PBE HfVI2, relaxed" mass_density_g_cm3=9.1 spacegroup="No. 225" formation_energy_uncorrected_ev_per_atom=0.43 pbc="T T T"
Hf -5.302 -2.974 0.614
I -2.651 -1.487 0.307
I -7.953 -4.461 0.921
V 0.000 0.000 0.000



[3]
4
Lattice="0.000 3.270 3.270 3.270 0.000 3.270 3.270 3.270 0.000" Properties=species:S:1:pos:R:3 comment="GGA-PBE HfV2I, relaxed" mass_density_g_cm3=9.7 spacegroup="No. 225" formation_energy_uncorrected_ev_per_atom=0.68 pbc="T T T"
Hf 3.270 3.270 3.270
V 4.906 4.906 4.906
V 1.635 1.635 1.635
I 0.000 0.000 0.000



[4]
6
Lattice="3.272 0.458 -1.000 0.594 4.707 -1.896 -4.317 -5.351 13.151" Properties=species:S:1:pos:R:3 comment="GGA-PBE HfVI, relaxed" mass_density_g_cm3=7.8 spacegroup="No. 2" formation_energy_uncorrected_ev_per_atom=0.11 pbc="T T T"
V -0.391 1.406 5.274
V -0.060 -1.593 4.980
I -2.230 -2.157 9.561
I 1.779 1.971 0.694
Hf -1.394 -0.456 7.100
Hf 0.943 0.269 3.155



[5]
5
Lattice="5.155 0.000 0.000 0.000 5.155 0.000 0.000 0.000 5.155" Properties=species:S:1:pos:R:3 comment="GGA-PBE Hf3VI, relaxed" mass_density_g_cm3=8.6 spacegroup="No. 221" formation_energy_uncorrected_ev_per_atom=1.47 pbc="T T T"
I 0.000 0.000 0.000
V 2.578 2.578 2.578
Hf 0.000 0.000 2.578
Hf 2.578 0.000 0.000
Hf 0.000 2.578 0.000



[6]
5
Lattice="-3.617 1.315 2.849 2.158 -2.114 3.716 2.278 4.091 1.004" Properties=species:S:1:pos:R:3 comment="GGA-PBE HfV3I, relaxed" mass_density_g_cm3=6.9 spacegroup="No. 221" formation_energy_uncorrected_ev_per_atom=1.73 pbc="T T T"
V 1.139 2.045 0.502
V -1.809 0.658 1.424
V 1.079 -1.057 1.858
I 0.409 1.646 3.784
Hf 0.000 0.000 0.000



[7]
5
Lattice="4.715 0.000 0.000 0.000 4.715 0.000 0.000 0.000 4.715" Properties=species:S:1:pos:R:3 comment="GGA-PBE HfV3I, relaxed" mass_density_g_cm3=7.3 spacegroup="No. 221" formation_energy_uncorrected_ev_per_atom=1.39 pbc="T T T"
Hf 2.358 2.358 2.358
V 2.358 0.000 0.000
V 0.000 0.000 2.358
V 0.000 2.358 0.000
I 0.000 0.000 0.000



[8]
8
Lattice="4.051 0.000 0.000 0.000 4.051 0.000 2.025 2.025 9.457" Properties=species:S:1:pos:R:3 comment="GGA-PBE HfV2I, relaxed" mass_density_g_cm3=8.7 spacegroup="No. 122" formation_energy_uncorrected_ev_per_atom=0.83 pbc="T T T"
V 2.940 1.013 2.364
V 3.038 3.136 7.093
V 1.111 3.038 2.364
V 5.063 4.965 7.093
Hf 0.000 0.000 0.000
Hf 4.051 2.025 4.728
I 2.025 4.051 4.728
I 2.025 2.025 0.000